No. 1
Material: GdEr2Hg
Method: DFT, PBE
State: optimized geometry

Output
Excess energy over the best structure of this formula in the dataset: 88.3 meV/atom
Space group: Amm2
Energy relative to the elements: -10.86 kJ per mole of atoms

abc: 5.4090 6.7251 6.7251
angles: 65.69 90.00 90.00
Fractional coordinates of all 8 atoms:
Gd  0.0000  0.0000  0.0000
Gd  0.5000  0.3098  0.3098
Er  0.0000  0.5068  0.5068
Er  0.5000  0.3091  0.8215
Er  0.5000  0.8071  0.8071
Er  0.5000  0.8215  0.3091
Hg  0.0000  0.4989  0.9901
Hg  0.0000  0.9901  0.4989

No. 2
Material: GdEr2Hg
Method: DFT, PBE
State: optimized geometry

Output
Excess energy over the best structure of this formula in the dataset: 0.0 meV/atom
Space group: Ama2
Energy relative to the elements: -19.38 kJ per mole of atoms

abc: 5.1197 6.7219 6.7219
angles: 103.68 90.00 90.00
Fractional coordinates of all 8 atoms:
Gd  0.2500  0.1146  0.8854
Gd  0.7500  0.8854  0.1146
Er  0.2500  0.1825  0.4021
Er  0.2500  0.6933  0.4679
Er  0.7500  0.4021  0.1825
Er  0.7500  0.4679  0.6933
Hg  0.2500  0.6114  0.9643
Hg  0.7500  0.9643  0.6114

No. 3
Material: GdEr2Mg3In2Hg
Method: DFT, PBE
State: optimized geometry

Output
Space group: Amm2

abc: 4.6123 7.5129 7.5129
angles: 120.44 90.00 90.00
Fractional coordinates of all 9 atoms:
Gd  0.0000  0.0000  0.0000
Er  0.0000  0.4217  0.8437
Er  0.0000  0.8437  0.4217
Mg  0.5000  0.1842  0.4227
Mg  0.5000  0.4227  0.1842
Mg  0.5000  0.6622  0.6622
In  0.5000  0.0896  0.7534
In  0.5000  0.7534  0.0896
Hg  0.0000  0.4268  0.4268

No. 4
Material: Gd2ErMg4Hg2
Method: DFT, PBE
State: optimized geometry

Output
Space group: Amm2

abc: 4.6747 7.4479 7.4479
angles: 119.47 90.00 90.00
Fractional coordinates of all 9 atoms:
Gd  0.0000  0.2148  0.7852
Gd  0.0000  0.7852  0.2148
Er  0.0000  0.3529  0.3529
Mg  0.0000  0.7802  0.7802
Mg  0.5000  0.0280  0.0280
Mg  0.5000  0.5380  0.7837
Mg  0.5000  0.7837  0.5380
Hg  0.5000  0.1205  0.4502
Hg  0.5000  0.4502  0.1205

No. 5
Material: GdEr2Mg4Hg2
Method: DFT, PBE
State: optimized geometry

Output
Space group: Amm2

abc: 4.6327 7.4799 7.4799
angles: 120.58 90.00 90.00
Fractional coordinates of all 9 atoms:
Gd  0.0000  0.0000  0.0000
Er  0.0000  0.1386  0.5705
Er  0.0000  0.5705  0.1386
Mg  0.0000  0.5655  0.5655
Mg  0.5000  0.3225  0.3225
Mg  0.5000  0.5691  0.8143
Mg  0.5000  0.8143  0.5691
Hg  0.5000  0.2391  0.9024
Hg  0.5000  0.9024  0.2391

No. 6
Material: Gd5HoEr2
Method: DFT, PBE
State: optimized geometry

Output
Space group: Amm2
Energy relative to the elements: 1.06 kJ per mole of atoms

abc: 5.6574 7.2169 7.2169
angles: 60.04 90.00 90.00
Fractional coordinates of all 8 atoms:
Gd  0.0000  0.0000  0.0000
Gd  0.0000  0.0000  0.5009
Gd  0.0000  0.5009  0.0000
Gd  0.5000  0.3334  0.8333
Gd  0.5000  0.8333  0.3334
Ho  0.5000  0.3339  0.3339
Er  0.0000  0.5003  0.5003
Er  0.5000  0.8339  0.8339

No. 7
Material: Gd2HoEr
Method: DFT, PBE
State: optimized geometry

Output
Space group: Cmcm
Energy relative to the elements: 0.86 kJ per mole of atoms

abc: 7.2060 7.2060 5.6398
angles: 90.00 90.00 119.93
Fractional coordinates of all 8 atoms:
Gd  0.1664  0.3337  0.2500
Gd  0.3337  0.1664  0.7500
Gd  0.6663  0.8336  0.2500
Gd  0.8336  0.6663  0.7500
Ho  0.1670  0.8330  0.2500
Ho  0.8330  0.1670  0.7500
Er  0.3330  0.6670  0.7500
Er  0.6670  0.3330  0.2500

No. 8
Material: Gd2HoEr
Method: DFT, PBE
State: optimized geometry

Output
Space group: Amm2
Energy relative to the elements: 0.95 kJ per mole of atoms

abc: 5.6393 7.2089 7.2089
angles: 59.98 90.00 90.00
Fractional coordinates of all 8 atoms:
Gd  0.0000  0.0000  0.0000
Gd  0.0000  0.0000  0.4989
Gd  0.0000  0.4989  0.0000
Gd  0.5000  0.6663  0.6663
Ho  0.5000  0.1667  0.6657
Ho  0.5000  0.6657  0.1667
Er  0.0000  0.4996  0.4996
Er  0.5000  0.1666  0.1666

No. 9
Material: Gd3Ho3Er2
Method: DFT, PBE
State: optimized geometry

Output
Space group: P-6m2
Energy relative to the elements: 0.87 kJ per mole of atoms

abc: 7.1976 7.1976 5.6208
angles: 90.00 90.00 120.00
Fractional coordinates of all 8 atoms:
Gd  0.0007  0.5004  0.0000
Gd  0.4996  0.5004  0.0000
Gd  0.4996  0.9993  0.0000
Ho  0.3332  0.1666  0.5000
Ho  0.8334  0.1666  0.5000
Ho  0.8334  0.6668  0.5000
Er  0.0000  0.0000  0.0000
Er  0.3333  0.6667  0.5000

No. 10
Material: Gd2HoEr
Method: DFT, PBE
State: optimized geometry

Output
Space group: Ama2
Energy relative to the elements: 0.92 kJ per mole of atoms

abc: 5.6393 7.2079 7.2079
angles: 120.02 90.00 90.00
Fractional coordinates of all 8 atoms:
Gd  0.2500  0.0833  0.4171
Gd  0.2500  0.0832  0.9168
Gd  0.7500  0.4171  0.0833
Gd  0.7500  0.9168  0.0832
Ho  0.2500  0.5846  0.4177
Ho  0.7500  0.4177  0.5846
Er  0.2500  0.5843  0.9174
Er  0.7500  0.9174  0.5843

No. 11
Material: GdHoEr6
Method: DFT, PBE
State: optimized geometry

Output
Space group: P-6m2
Energy relative to the elements: 0.26 kJ per mole of atoms

abc: 7.1557 7.1557 5.5664
angles: 90.00 90.00 120.00
Fractional coordinates of all 8 atoms:
Gd  0.0000  0.0000  0.0000
Ho  0.6667  0.3333  0.5000
Er  0.0022  0.5011  0.0000
Er  0.1677  0.3354  0.5000
Er  0.1677  0.8323  0.5000
Er  0.4989  0.5011  0.0000
Er  0.4989  0.9978  0.0000
Er  0.6646  0.8323  0.5000

No. 12
Material: Gd3Ho3Er2
Method: DFT, PBE
State: optimized geometry

Output
Space group: Amm2
Energy relative to the elements: 0.81 kJ per mole of atoms

abc: 5.6213 7.1963 7.1963
angles: 60.00 90.00 90.00
Fractional coordinates of all 8 atoms:
Gd  0.0000  0.0000  0.0000
Gd  0.5000  0.3333  0.8329
Gd  0.5000  0.8329  0.3333
Ho  0.0000  0.9995  0.5006
Ho  0.0000  0.5006  0.9995
Ho  0.5000  0.3338  0.3338
Er  0.0000  0.5004  0.5004
Er  0.5000  0.8336  0.8336

Total energy: -3.632; -3.720; -3.097; -2.563; -2.546; -4.611; -4.603; -4.602; -4.594; -4.603; -4.574; -4.594 (eV/atom)